Record 1
{"formula": "Li3Ho2TiS6", "functional": "PBE", "state": "optimized geometry", "lattice": [[3.2724, -5.6618, 0.0000], [3.2724, 5.6618, 0.0000], [-2.1710, 0.0000, 6.1424]], "species": ["Li", "Li", "Li", "Ho", "Ho", "Ti", "S", "S", "S", "S", "S", "S"], "fractional_positions": [[0.0000, 0.0000, 0.0000], [0.3387, 0.6613, 0.0000], [0.6613, 0.3387, 0.0000], [0.1679, 0.8321, 0.5000], [0.8321, 0.1679, 0.5000], [0.5000, 0.5000, 0.5000], [0.1036, 0.4169, 0.2530], [0.2678, 0.2678, 0.7413], [0.4169, 0.1036, 0.2530], [0.5831, 0.8964, 0.7470], [0.7322, 0.7322, 0.2587], [0.8964, 0.5831, 0.7470]], "e_tot_ev_per_fu": -67.52, "raw_formation_energy_mev_per_atom": -1664, "total_magnetization_mub_per_atom": 0.08, "space_group": "C2/m", "n_ef_per_ev_atom": 0.46}

Record 2
{"formula": "Li3Ho3TiS8", "functional": "PBE", "state": "optimized geometry", "lattice": [[3.8260, 2.2090, 6.1415], [-3.8260, 2.2090, 6.1415], [0.0000, -4.4179, 6.1415]], "species": ["Li", "Li", "Li", "Ho", "Ho", "Ho", "Ti", "S", "S", "S", "S", "S", "S", "S", "S"], "fractional_positions": [[0.0000, 0.5000, 0.5000], [0.5000, 0.0000, 0.5000], [0.5000, 0.5000, 0.0000], [0.0000, 0.0000, 0.5000], [0.0000, 0.5000, 0.0000], [0.5000, 0.0000, 0.0000], [0.5000, 0.5000, 0.5000], [0.2509, 0.2509, 0.2509], [0.2689, 0.2689, 0.7274], [0.2689, 0.7274, 0.2689], [0.2726, 0.7311, 0.7311], [0.7274, 0.2689, 0.2689], [0.7311, 0.2726, 0.7311], [0.7311, 0.7311, 0.2726], [0.7491, 0.7491, 0.7491]], "e_tot_ev_per_fu": -86.20, "raw_formation_energy_mev_per_atom": -1721, "total_magnetization_mub_per_atom": 0.00, "space_group": "R-3m"}

Record 3
{"formula": "Li2Ho2TiS6", "functional": "PBE", "state": "optimized geometry", "lattice": [[3.3018, -5.6605, 0.0000], [3.3018, 5.6605, 0.0000], [-1.9567, 0.0000, 6.1612]], "species": ["Li", "Li", "Ho", "Ho", "Ti", "S", "S", "S", "S", "S", "S"], "fractional_positions": [[0.1533, 0.8467, 0.0000], [0.8467, 0.1533, 0.0000], [0.3334, 0.6666, 0.5000], [0.6666, 0.3334, 0.5000], [0.0000, 0.0000, 0.5000], [0.0688, 0.3793, 0.7368], [0.2310, 0.2310, 0.2652], [0.3793, 0.0688, 0.7368], [0.6207, 0.9312, 0.2632], [0.7690, 0.7690, 0.7348], [0.9312, 0.6207, 0.2632]], "e_tot_ev_per_fu": -63.83, "raw_formation_energy_mev_per_atom": -1653, "total_magnetization_mub_per_atom": 0.00, "space_group": "C2/m"}

Record 4
{"formula": "LiHo3Tm3S8", "functional": "PBE", "state": "optimized geometry", "lattice": [[3.8399, 2.2170, 6.2805], [-3.8399, 2.2170, 6.2805], [0.0000, -4.4340, 6.2805]], "species": ["Li", "Ho", "Ho", "Ho", "Tm", "Tm", "Tm", "S", "S", "S", "S", "S", "S", "S", "S"], "fractional_positions": [[0.0000, 0.0000, 0.0000], [0.0000, 0.0000, 0.5000], [0.0000, 0.5000, 0.0000], [0.5000, 0.0000, 0.0000], [0.0000, 0.5000, 0.5000], [0.5000, 0.0000, 0.5000], [0.5000, 0.5000, 0.0000], [0.2460, 0.2460, 0.7517], [0.2460, 0.7517, 0.2460], [0.2483, 0.7540, 0.7540], [0.2511, 0.2511, 0.2511], [0.7489, 0.7489, 0.7489], [0.7517, 0.2460, 0.2460], [0.7540, 0.2483, 0.7540], [0.7540, 0.7540, 0.2483]], "e_tot_ev_per_fu": -91.90, "raw_formation_energy_mev_per_atom": -1988, "total_magnetization_mub_per_atom": 0.00, "space_group": "R-3m", "n_ef_per_ev_atom": 0.28}

Record 5
{"formula": "Li2HoTmS4", "functional": "PBE", "state": "optimized geometry", "lattice": [[6.5550, 0.0000, 0.0000], [0.0000, 3.8779, 0.0000], [-2.2915, 0.0000, 6.3118]], "species": ["Li", "Li", "Ho", "Tm", "S", "S", "S", "S"], "fractional_positions": [[0.0000, 0.0000, 0.0000], [0.0000, 0.5000, 0.5000], [0.5000, 0.0000, 0.5000], [0.5000, 0.5000, 0.0000], [0.2507, 0.5000, 0.2483], [0.2517, 0.0000, 0.7526], [0.7483, 0.0000, 0.2474], [0.7493, 0.5000, 0.7517]], "e_tot_ev_per_fu": -44.25, "raw_formation_energy_mev_per_atom": -1858, "total_magnetization_mub_per_atom": 0.00, "space_group": "P2/m", "n_ef_per_ev_atom": 0.00}

Record 6
{"formula": "LiHoTm2S5", "functional": "PBE", "state": "optimized geometry", "lattice": [[1.9281, -7.9993, 0.0000], [1.9281, 7.9993, 0.0000], [0.0000, 0.0000, 11.8021]], "species": ["Li", "Li", "Ho", "Ho", "Tm", "Tm", "Tm", "Tm", "S", "S", "S", "S", "S", "S", "S", "S", "S", "S"], "fractional_positions": [[0.0123, 0.9877, 0.5000], [0.9877, 0.0123, 0.0000], [0.3031, 0.6969, 0.0179], [0.6969, 0.3031, 0.5179], [0.3767, 0.6233, 0.3052], [0.3919, 0.6081, 0.7011], [0.6081, 0.3919, 0.2011], [0.6233, 0.3767, 0.8052], [0.0007, 0.9993, 0.8039], [0.1362, 0.8638, 0.0264], [0.1937, 0.8063, 0.3575], [0.2131, 0.7869, 0.6812], [0.4546, 0.5454, 0.0941], [0.5454, 0.4546, 0.5941], [0.7869, 0.2131, 0.1812], [0.8063, 0.1937, 0.8575], [0.8638, 0.1362, 0.5264], [0.9993, 0.0007, 0.3039]], "e_tot_ev_per_fu": -52.63, "raw_formation_energy_mev_per_atom": -1840, "total_magnetization_mub_per_atom": 0.00, "space_group": "Cmc2_1"}

Record 7
{"formula": "LiHoTmS3", "functional": "PBE", "state": "optimized geometry", "lattice": [[7.9143, 0.0000, 0.0000], [0.0000, 3.7563, 0.0000], [-1.7825, 0.0000, 8.0742]], "species": ["Li", "Li", "Ho", "Ho", "Tm", "Tm", "S", "S", "S", "S", "S", "S"], "fractional_positions": [[0.0878, 0.2500, 0.0832], [0.9122, 0.7500, 0.9168], [0.1865, 0.2500, 0.7198], [0.8135, 0.7500, 0.2802], [0.3377, 0.7500, 0.3326], [0.6623, 0.2500, 0.6674], [0.0939, 0.2500, 0.3690], [0.2202, 0.7500, 0.9926], [0.4227, 0.7500, 0.6701], [0.5773, 0.2500, 0.3299], [0.7798, 0.2500, 0.0074], [0.9061, 0.7500, 0.6310]], "e_tot_ev_per_fu": -34.06, "raw_formation_energy_mev_per_atom": -1785, "total_magnetization_mub_per_atom": 0.00, "space_group": "P2_1/m", "n_ef_per_ev_atom": 0.31}

Record 8
{"formula": "Li3HoTm2S6", "functional": "PBE", "state": "optimized geometry", "lattice": [[3.3520, -5.8069, 0.0000], [3.3520, 5.8069, 0.0000], [-2.2332, 0.0000, 6.1609]], "species": ["Li", "Li", "Li", "Ho", "Tm", "Tm", "S", "S", "S", "S", "S", "S"], "fractional_positions": [[0.0000, 0.0000, 0.0000], [0.3330, 0.6670, 0.0000], [0.6670, 0.3330, 0.0000], [0.5000, 0.5000, 0.5000], [0.1667, 0.8333, 0.5000], [0.8333, 0.1667, 0.5000], [0.0817, 0.4173, 0.2516], [0.2473, 0.2473, 0.7488], [0.4173, 0.0817, 0.2516], [0.5827, 0.9183, 0.7484], [0.7527, 0.7527, 0.2512], [0.9183, 0.5827, 0.7484]], "e_tot_ev_per_fu": -66.34, "raw_formation_energy_mev_per_atom": -1860, "total_magnetization_mub_per_atom": 0.00, "space_group": "C2/m", "n_ef_per_ev_atom": 0.00}

Record 9
{"formula": "LiHo2TmS4", "functional": "PBE", "state": "optimized geometry", "lattice": [[6.6598, 0.0000, 0.0000], [0.0000, 3.8436, 0.0000], [-2.2100, 0.0000, 6.2877]], "species": ["Li", "Ho", "Ho", "Tm", "S", "S", "S", "S"], "fractional_positions": [[0.0000, 0.0000, 0.0000], [0.0000, 0.5000, 0.5000], [0.5000, 0.0000, 0.5000], [0.5000, 0.5000, 0.0000], [0.2456, 0.5000, 0.2431], [0.2478, 0.0000, 0.7571], [0.7522, 0.0000, 0.2429], [0.7544, 0.5000, 0.7569]], "e_tot_ev_per_fu": -47.46, "raw_formation_energy_mev_per_atom": -1926, "total_magnetization_mub_per_atom": 0.00, "space_group": "P2/m", "n_ef_per_ev_atom": 0.31}

Record 10
{"formula": "LiHoTm2S4", "functional": "PBE", "state": "optimized geometry", "lattice": [[6.6504, 0.0000, 0.0000], [0.0000, 3.8313, 0.0000], [-2.2042, 0.0000, 6.2759]], "species": ["Li", "Ho", "Tm", "Tm", "S", "S", "S", "S"], "fractional_positions": [[0.0000, 0.0000, 0.0000], [0.0000, 0.5000, 0.5000], [0.5000, 0.0000, 0.5000], [0.5000, 0.5000, 0.0000], [0.2482, 0.5000, 0.2458], [0.2493, 0.0000, 0.7557], [0.7507, 0.0000, 0.2443], [0.7518, 0.5000, 0.7542]], "e_tot_ev_per_fu": -47.31, "raw_formation_energy_mev_per_atom": -1921, "total_magnetization_mub_per_atom": 0.00, "space_group": "P2/m", "n_ef_per_ev_atom": 0.30}

Record 11
{"formula": "LiHo2TmS5", "functional": "PBE", "state": "optimized geometry", "lattice": [[1.9312, -8.0329, 0.0000], [1.9312, 8.0329, 0.0000], [0.0000, 0.0000, 11.7228]], "species": ["Li", "Li", "Ho", "Ho", "Ho", "Ho", "Tm", "Tm", "S", "S", "S", "S", "S", "S", "S", "S", "S", "S"], "fractional_positions": [[0.0136, 0.9864, 0.5000], [0.9864, 0.0136, 0.0000], [0.3754, 0.6246, 0.3116], [0.3930, 0.6070, 0.7031], [0.6070, 0.3930, 0.2031], [0.6246, 0.3754, 0.8116], [0.3029, 0.6971, 0.0208], [0.6971, 0.3029, 0.5208], [0.9997, 0.0003, 0.3031], [0.0003, 0.9997, 0.8031], [0.1370, 0.8630, 0.0206], [0.1927, 0.8073, 0.3615], [0.2144, 0.7856, 0.6817], [0.4533, 0.5467, 0.0935], [0.5467, 0.4533, 0.5935], [0.7856, 0.2144, 0.1817], [0.8073, 0.1927, 0.8615], [0.8630, 0.1370, 0.5206]], "e_tot_ev_per_fu": -53.02, "raw_formation_energy_mev_per_atom": -1871, "total_magnetization_mub_per_atom": 0.00, "space_group": "Cmc2_1"}

Record 12
{"formula": "Li4HoTm3S8", "functional": "PBE", "state": "optimized geometry", "lattice": [[3.8674, 2.2328, 6.1614], [-3.8674, 2.2328, 6.1614], [0.0000, -4.4657, 6.1614]], "species": ["Li", "Li", "Li", "Li", "Ho", "Tm", "Tm", "Tm", "S", "S", "S", "S", "S", "S", "S", "S"], "fractional_positions": [[0.0000, 0.0000, 0.0000], [0.0000, 0.5000, 0.5000], [0.5000, 0.0000, 0.5000], [0.5000, 0.5000, 0.0000], [0.5000, 0.5000, 0.5000], [0.0000, 0.0000, 0.5000], [0.0000, 0.5000, 0.0000], [0.5000, 0.0000, 0.0000], [0.2474, 0.7506, 0.7506], [0.2492, 0.2492, 0.2492], [0.2494, 0.2494, 0.7526], [0.2494, 0.7526, 0.2494], [0.7506, 0.2474, 0.7506], [0.7506, 0.7506, 0.2474], [0.7508, 0.7508, 0.7508], [0.7526, 0.2494, 0.2494]], "e_tot_ev_per_fu": -88.43, "raw_formation_energy_mev_per_atom": -1860, "total_magnetization_mub_per_atom": 0.00, "space_group": "R-3m", "n_ef_per_ev_atom": 0.00}